Material: Ba2Na2I
Method: DFT, GGA-PBE
State: relaxed

Computed properties:
Its space-group type is I4/mmm (139). As for the total magnetization: 0.0 μB per formula unit. The crystal system is tetragonal. The uncorrected formation energy comes out at -169 meV per atom. For the calculated volume, the calculation gives 251.4 Å³ per cell.

Cell and atoms, written as POSCAR:
```
Ba2Na2I
1.0
-3.7043 3.7043 4.5802
3.7043 -3.7043 4.5802
3.7043 3.7043 -4.5802
Ba Na I
2 2 1
direct
0.2500 0.7500 0.5000 Ba
0.7500 0.2500 0.5000 Ba
0.1589 0.1589 0.0000 Na
0.8411 0.8411 0.0000 Na
0.5000 0.5000 0.0000 I
```